No. 1
PRhAu2: single point on PBEsol structure, meta-GGA SCAN.

Lattice parameters (Å, degrees): 3.742 3.742 8.830 90.00 90.00 90.00
Element x y z (fractional)
P (0.000, 0.000, 0.000)
P (0.500, 0.500, 0.500)
Rh (0.000, 0.000, 0.500)
Rh (0.500, 0.500, 0.000)
Au (0.000, 0.500, 0.250)
Au (0.000, 0.500, 0.750)
Au (0.500, 0.000, 0.250)
Au (0.500, 0.000, 0.750)

Values from the calculation:
* energy relative to the elements: 277 meV per atom
* crystal system: tetragonal
* total magnetization: 0.00 μB/f.u.

=====

No. 2
P2RhAu: single point on PBEsol structure, meta-GGA SCAN.

Lattice parameters (Å, degrees): 3.184 3.184 5.805 90.00 90.00 90.00
Element x y z (fractional)
P (0.000, 0.000, 0.209)
P (0.000, 0.000, 0.791)
Rh (0.500, 0.500, 0.000)
Au (0.500, 0.500, 0.500)

Values from the calculation:
* energy relative to the elements: 150 meV per atom
* crystal system: tetragonal
* total magnetization: 0.00 μB/f.u.
* polymorph energy (0 for the lowest one): 268 meV/atom

=====

No. 3
PRhAu2: single point on PBEsol structure, meta-GGA SCAN.

Lattice parameters (Å, degrees): 3.060 3.794 5.340 90.00 90.00 90.00
Element x y z (fractional)
P (0.000, 0.000, 0.000)
Rh (0.000, 0.000, 0.500)
Au (0.500, 0.500, 0.249)
Au (0.500, 0.500, 0.751)

Values from the calculation:
* energy relative to the elements: 341 meV per atom
* crystal system: orthorhombic
* total magnetization: 0.00 μB/f.u.

=====

No. 4
PRh2Au: single point on PBEsol structure, meta-GGA SCAN.

Lattice parameters (Å, degrees): 3.012 4.238 4.823 90.00 98.54 90.00
Element x y z (fractional)
P (0.000, 0.000, 0.000)
Rh (0.578, 0.000, 0.350)
Rh (0.722, 0.500, 0.997)
Au (0.141, 0.500, 0.528)

Values from the calculation:
* energy relative to the elements: -131 meV per atom
* crystal system: monoclinic
* total magnetization: 0.00 μB/f.u.

=====

No. 5
P2RhAu: single point on PBEsol structure, meta-GGA SCAN.

Lattice parameters (Å, degrees): 4.061 3.817 4.153 90.00 90.87 90.00
Element x y z (fractional)
P (0.152, 0.000, 0.295)
P (0.848, 0.000, 0.705)
Rh (0.000, 0.500, 0.000)
Au (0.500, 0.500, 0.500)

Values from the calculation:
* energy relative to the elements: -118 meV per atom
* crystal system: monoclinic
* total magnetization: 0.00 μB/f.u.
* polymorph energy (0 for the lowest one): 0 meV/atom

=====

No. 6
PRu2Au: single point on PBEsol structure, meta-GGA SCAN.

Lattice parameters (Å, degrees): 6.122 6.122 6.122 90.00 90.00 90.00
Element x y z (fractional)
P (0.000, 0.000, 0.000)
P (0.000, 0.500, 0.500)
P (0.500, 0.000, 0.500)
P (0.500, 0.500, 0.000)
Ru (0.000, 0.000, 0.500)
Ru (0.000, 0.500, 0.000)
Ru (0.250, 0.250, 0.250)
Ru (0.250, 0.750, 0.750)
Ru (0.500, 0.000, 0.000)
Ru (0.500, 0.500, 0.500)
Ru (0.750, 0.250, 0.750)
Ru (0.750, 0.750, 0.250)
Au (0.250, 0.250, 0.750)
Au (0.250, 0.750, 0.250)
Au (0.750, 0.250, 0.250)
Au (0.750, 0.750, 0.750)

Values from the calculation:
* energy relative to the elements: 595 meV per atom
* crystal system: cubic
* total magnetization: 1.57 μB/f.u.

=====

No. 7
P2RuAu: single point on PBEsol structure, meta-GGA SCAN.

Lattice parameters (Å, degrees): 4.335 4.335 3.023 90.00 90.00 90.00
Element x y z (fractional)
P (0.000, 0.500, 0.000)
P (0.500, 0.000, 0.000)
Ru (0.000, 0.000, 0.500)
Au (0.500, 0.500, 0.500)

Values from the calculation:
* energy relative to the elements: 431 meV per atom
* crystal system: tetragonal
* total magnetization: 0.00 μB/f.u.

=====

No. 8
PRu2Au: single point on PBEsol structure, meta-GGA SCAN.

Lattice parameters (Å, degrees): 2.792 4.430 4.638 90.00 90.00 90.00
Element x y z (fractional)
P (0.000, 0.000, 0.000)
Ru (0.000, 0.500, 0.500)
Ru (0.500, 0.500, 0.000)
Au (0.500, 0.000, 0.500)

Values from the calculation:
* energy relative to the elements: 570 meV per atom
* crystal system: orthorhombic
* total magnetization: 1.41 μB/f.u.

=====

No. 9
PRu4Au: single point on PBEsol structure, meta-GGA SCAN.

Lattice parameters (Å, degrees): 5.039 5.039 5.039 60.00 60.00 60.00
Element x y z (fractional)
P (0.000, 0.000, 0.000)
Ru (0.124, 0.625, 0.625)
Ru (0.625, 0.124, 0.625)
Ru (0.625, 0.625, 0.124)
Ru (0.625, 0.625, 0.625)
Au (0.250, 0.250, 0.250)

Values from the calculation:
* energy relative to the elements: 871 meV per atom
* crystal system: cubic
* total magnetization: 4.51 μB/f.u.

=====

No. 10
PRuAu2: single point on PBEsol structure, meta-GGA SCAN.

Lattice parameters (Å, degrees): 2.949 4.696 4.638 90.00 95.86 90.00
Element x y z (fractional)
P (0.000, 0.000, 0.000)
Ru (0.000, 0.000, 0.500)
Au (0.276, 0.500, 0.246)
Au (0.724, 0.500, 0.754)

Values from the calculation:
* energy relative to the elements: 373 meV per atom
* crystal system: monoclinic
* total magnetization: 0.53 μB/f.u.

=====

No. 11
PRuAu2: single point on PBEsol structure, meta-GGA SCAN.

Lattice parameters (Å, degrees): 2.893 3.682 11.914 90.00 90.00 90.00
Element x y z (fractional)
P (0.000, 0.000, 0.000)
P (0.500, 0.500, 0.500)
Ru (0.000, 0.000, 0.500)
Ru (0.500, 0.500, 0.000)
Au (0.000, 0.500, 0.316)
Au (0.000, 0.500, 0.684)
Au (0.500, 0.000, 0.184)
Au (0.500, 0.000, 0.816)

Values from the calculation:
* energy relative to the elements: 79 meV per atom
* crystal system: orthorhombic
* total magnetization: 0.00 μB/f.u.

=====

No. 12
PRuAu2: single point on PBEsol structure, meta-GGA SCAN.

Lattice parameters (Å, degrees): 2.714 3.996 5.679 90.00 90.00 90.00
Element x y z (fractional)
P (0.000, 0.000, 0.000)
Ru (0.000, 0.000, 0.500)
Au (0.500, 0.500, 0.250)
Au (0.500, 0.500, 0.750)

Values from the calculation:
* energy relative to the elements: 546 meV per atom
* crystal system: orthorhombic
* total magnetization: 1.06 μB/f.u.

=====

No. 13
PRu2Au: single point on PBEsol structure, meta-GGA SCAN.

Lattice parameters (Å, degrees): 6.069 6.077 3.008 90.00 90.00 90.00
Element x y z (fractional)
P (0.000, 0.000, 0.000)
P (0.500, 0.500, 0.000)
Ru (0.250, 0.250, 0.500)
Ru (0.250, 0.750, 0.500)
Ru (0.750, 0.250, 0.500)
Ru (0.750, 0.750, 0.500)
Au (0.000, 0.500, 0.000)
Au (0.500, 0.000, 0.000)

Values from the calculation:
* energy relative to the elements: 318 meV per atom
* crystal system: orthorhombic
* total magnetization: 0.00 μB/f.u.

=====

No. 14
P3RuAu: single point on PBEsol structure, meta-GGA SCAN.

Lattice parameters (Å, degrees): 4.616 4.616 4.616 90.00 90.00 90.00
Element x y z (fractional)
P (0.000, 0.000, 0.500)
P (0.000, 0.500, 0.000)
P (0.500, 0.000, 0.000)
Ru (0.500, 0.500, 0.500)
Au (0.000, 0.000, 0.000)

Values from the calculation:
* energy relative to the elements: 1695 meV per atom
* crystal system: cubic
* total magnetization: 1.69 μB/f.u.

=====

No. 15
TlPRu2Au: single point on PBEsol structure, meta-GGA SCAN.

Lattice parameters (Å, degrees): 4.974 4.974 4.748 90.00 90.00 90.00
Element x y z (fractional)
Tl (0.000, 0.000, 0.000)
P (0.000, 0.000, 0.500)
Ru (0.000, 0.500, 0.000)
Ru (0.500, 0.000, 0.000)
Au (0.500, 0.500, 0.500)

Values from the calculation:
* energy relative to the elements: 2222 meV per atom
* crystal system: tetragonal
* total magnetization: 4.59 μB/f.u.

=====

no.,raw total energy (eV per atom)
1,-45.344
2,-30.782
3,-45.280
4,-36.906
5,-31.049
6,-36.707
7,-30.764
8,-36.732
9,-35.606
10,-45.512
11,-45.806
12,-45.339
13,-36.984
14,-25.340
15,-42.092